Entry from Alexandria via LeMat-Bulk: K3Mn2Cl2F5 after structural relaxation (PBE+U).

The structure belongs to space group I4/mmm (No. 139); the cell edges are 4.3328, 4.3328 and 24.2390 Å and the angles 90.00°, 90.00° and 90.00°. The distinct sites, in fractional coordinates, are K at (0.0000, 0.0000, 0.0000), K at (0.0000, 0.0000, 0.1717), Mn at (0.0000, 0.0000, 0.4127), Cl at (0.0000, 0.0000, 0.3075), F at (0.0000, 0.0000, 0.5000) and F at (0.0000, 0.5000, 0.0856).

As for the crystal system: tetragonal. The density comes out at 2.869 g/cm3. The raw total energy is -122.1 eV per cell. For the density of states at the Fermi level, the calculation gives 0.000 states/eV per cell.